The following is a PBE calculation of a geometry-optimized CuNiBr2 structure, from the Alexandria database.

Values from the calculation:
**ΔE to the lowest computed polymorph**: 286.1 meV/atom
**Formation energy without anion corrections**: 0.17 eV/atom
**V**: 92.24 Å³/cell
**Spin magnetization**: 0.5 μB/cell

Cell lengths 7.8210, 7.8210, 7.8210 Å; angles 153.93, 153.93, 37.20 degrees
Last column: nearest neighbours and their distance in Å.
Fractional positions:
Cu (0.5000, 0.5000, 0.0000)  4 Br 2.49
Br (0.0000, 0.0000, 0.0000)  4 Cu 2.49
Ni (0.7500, 0.2500, 0.5000)  4 Br 2.49
Br (0.2500, 0.7500, 0.5000)  4 Ni 2.49

---

The following is a PBE calculation of a geometry-optimized YSc4 structure, from the Alexandria database.

Values from the calculation:
**ΔE to the lowest computed polymorph**: 1.7 meV/atom
**V**: 129.66 Å³/cell
**Spin magnetization**: 0.0 μB/cell

Cell lengths 4.7115, 5.7505, 5.7505 Å; angles 99.66, 114.18, 65.82 degrees
Last column: nearest neighbours and their distance in Å.
Fractional positions:
Sc (0.8024, 0.7947, 0.3996)  9 Sc 3.27-3.36, 3 Y 3.33
Sc (0.5971, 0.6004, 0.7947)  9 Sc 3.27-3.36, 3 Y 3.33
Sc (0.1976, 0.2053, 0.6004)  9 Sc 3.27-3.36, 3 Y 3.33
Sc (0.4029, 0.3996, 0.2053)  9 Sc 3.27-3.36, 3 Y 3.33
Y (0.0000, 0.0000, 0.0000)  12 Sc 3.33

---

The following is a PBE calculation of a geometry-optimized TbDy6Tm2Th3 structure, from the Alexandria database.

Values from the calculation:
**V**: 378.14 Å³/cell
**Spin magnetization**: 0.0 μB/cell
**Total DFT energy (no corrections)**: -5.262 eV per atom

Cell lengths 6.1547, 6.1547, 11.7056 Å; angles 95.04, 95.04, 119.97 degrees
Last column: nearest neighbours and their distance in Å.
Fractional positions:
Dy (0.2497, 0.2497, 0.7473)  3 Th 3.51, 6 Dy 3.55-3.56, 2 Tm 3.56, 1 Tb 3.56
Dy (0.4176, 0.0840, 0.2527)  3 Th 3.51, 6 Dy 3.55-3.56, 2 Tm 3.56, 1 Tb 3.56
Th (0.8336, 0.1664, 0.5000)  6 Dy 3.51, 6 Th 3.55-3.56
Tb (0.0000, 0.0000, 0.0000)  6 Tm 3.55, 6 Dy 3.56
Th (0.1664, 0.8336, 0.5000)  6 Dy 3.51, 6 Th 3.55-3.56
Th (0.5000, 0.5000, 0.5000)  6 Dy 3.51, 6 Th 3.55-3.56
Dy (0.5824, 0.9160, 0.7473)  3 Th 3.51, 6 Dy 3.55-3.56, 2 Tm 3.56, 1 Tb 3.56
Dy (0.7503, 0.7503, 0.2527)  3 Th 3.51, 6 Dy 3.55-3.56, 2 Tm 3.56, 1 Tb 3.56
Tm (0.6667, 0.3333, 0.0000)  3 Tb 3.55, 3 Tm 3.55, 6 Dy 3.56
Tm (0.3333, 0.6667, 0.0000)  3 Tb 3.55, 3 Tm 3.55, 6 Dy 3.56
Dy (0.9160, 0.5824, 0.7473)  3 Th 3.51, 6 Dy 3.55-3.56, 2 Tm 3.56, 1 Tb 3.56
Dy (0.0840, 0.4176, 0.2527)  3 Th 3.51, 6 Dy 3.55-3.56, 2 Tm 3.56, 1 Tb 3.56

---

The following is a PBE calculation of a geometry-optimized Sm2Er8Mg structure, from the Alexandria database.

Values from the calculation:
**ΔE to the lowest computed polymorph**: 38.3 meV/atom
**V**: 343.86 Å³/cell
**Spin magnetization**: 0.0 μB/cell

Cell lengths 6.6200, 9.9122, 9.9122 Å; angles 38.60, 59.92, 59.92 degrees
Last column: nearest neighbours and their distance in Å.
Fractional positions:
Er (0.1763, 0.7543, 0.7543)  5 Er 3.27-3.46, 4 Sm 3.38-3.58
Er (0.7748, 0.1786, 0.6590)  1 Mg 3.14, 6 Er 3.15-3.49, 1 Sm 3.34
Sm (0.5780, 0.8136, 0.8136)  7 Er 3.34-3.69, 1 Mg 3.55
Er (0.8237, 0.2457, 0.2457)  5 Er 3.27-3.46, 4 Sm 3.38-3.58
Sm (0.4220, 0.1864, 0.1864)  7 Er 3.34-3.69, 1 Mg 3.55
Er (0.2252, 0.3410, 0.8214)  1 Mg 3.14, 6 Er 3.15-3.49, 1 Sm 3.34
Er (0.7283, 0.5936, 0.5936)  6 Er 3.27-3.54
Er (0.7748, 0.6590, 0.1786)  1 Mg 3.14, 6 Er 3.15-3.49, 1 Sm 3.34
Mg (0.0000, 0.0000, 0.0000)  4 Er 3.14
Er (0.2717, 0.4064, 0.4064)  6 Er 3.27-3.54
Er (0.2252, 0.8214, 0.3410)  1 Mg 3.14, 6 Er 3.15-3.49, 1 Sm 3.34

---

The following is a PBE calculation of a geometry-optimized CoTc2C structure, from the Alexandria database.

Values from the calculation:
**V**: 50.70 Å³/cell
**Spin magnetization**: 1.6 μB/cell
**Total DFT energy (no corrections)**: -8.609 eV per atom

Cell lengths 2.7901, 2.7901, 7.6904 Å; angles 79.55, 79.55, 60.00 degrees
Last column: nearest neighbours and their distance in Å.
Fractional positions:
Tc (0.1073, 0.1073, 0.6781)  3 C 2.09
Co (0.0000, 0.0000, 0.0000)  2 Tc 2.42
C (0.5000, 0.5000, 0.5000)  6 Tc 2.09
Tc (0.8927, 0.8927, 0.3219)  3 C 2.09

---

The following is a PBE calculation of a geometry-optimized ReSbRuSe2 structure, from the Alexandria database.

Values from the calculation:
**Formation energy without anion corrections**: 1.19 eV/atom
**V**: 118.84 Å³/cell
**Spin magnetization**: 2.4 μB/cell

Cell lengths 4.7000, 5.3800, 4.7000 Å; angles 90.00, 90.00, 90.00 degrees
Last column: nearest neighbours and their distance in Å.
Fractional positions:
Se (0.5000, 0.0000, 0.0000)  2 Re 2.35
Ru (0.5000, 0.5000, 0.5000)  4 Sb 3.32, 8 Se 3.57
Re (0.0000, 0.0000, 0.0000)  4 Se 2.35
Se (0.0000, 0.0000, 0.5000)  2 Re 2.35
Sb (0.0000, 0.5000, 0.0000)  2 Re 2.69

---

The following is a PBE calculation of a geometry-optimized LaNdPbN structure, from the Alexandria database.

Values from the calculation:
**Formation energy without anion corrections**: -0.95 eV/atom
**V**: 217.64 Å³/cell
**Spin magnetization**: 0.0 μB/cell

Cell lengths 4.8394, 4.8394, 9.2927 Å; angles 90.00, 90.00, 90.00 degrees
Last column: nearest neighbours and their distance in Å.
Fractional positions:
Pb (0.5000, 0.0000, 0.2042)  5 La 3.43-3.55, 1 N 3.48, 4 Nd 3.66
N (0.5000, 0.0000, 0.5788)  1 La 2.26, 4 Nd 2.53
Pb (0.0000, 0.5000, 0.7958)  5 La 3.43-3.55, 1 N 3.48, 4 Nd 3.66
N (0.0000, 0.5000, 0.4212)  1 La 2.26, 4 Nd 2.53
La (0.0000, 0.5000, 0.1778)  1 N 2.26
Nd (0.5000, 0.5000, 0.5000)  4 N 2.53
Nd (0.0000, 0.0000, 0.5000)  4 N 2.53
La (0.5000, 0.0000, 0.8222)  1 N 2.26

---

The following is a PBE calculation of a geometry-optimized AcEu2Se structure, from the Alexandria database.

Values from the calculation:
**ΔE to the lowest computed polymorph**: 106.2 meV/atom
**Formation energy without anion corrections**: -0.79 eV/atom
**V**: 141.98 Å³/cell
**Spin magnetization**: 14.5 μB/cell

Cell lengths 3.8157, 3.8157, 9.7514 Å; angles 90.00, 90.00, 90.00 degrees
Last column: nearest neighbours and their distance in Å.
Fractional positions:
Ac (0.5000, 0.5000, 0.5000)  4 Ac 3.82, 8 Eu 4.12
Se (0.5000, 0.5000, 0.0000)  8 Eu 3.22
Eu (0.0000, 0.0000, 0.8189)  4 Se 3.22, 1 Eu 3.53
Eu (0.0000, 0.0000, 0.1811)  4 Se 3.22, 1 Eu 3.53

---

The following is a PBE calculation of a geometry-optimized Mg2NbSnPb structure, from the Alexandria database.

Values from the calculation:
**V**: 160.88 Å³/cell
**Spin magnetization**: 3.7 μB/cell
**Total DFT energy (no corrections)**: -3.082 eV per atom

Cell lengths 5.1506, 6.0643, 5.1506 Å; angles 90.00, 90.00, 90.00 degrees
Last column: nearest neighbours and their distance in Å.
Fractional positions:
Sn (0.0000, 0.0000, 0.0000)  4 Mg 2.58
Nb (0.5000, 0.5000, 0.5000)  4 Pb 3.64, 8 Mg 3.98
Pb (0.0000, 0.5000, 0.0000)  2 Sn 3.03
Mg (0.5000, 0.0000, 0.0000)  2 Sn 2.58
Mg (0.0000, 0.0000, 0.5000)  2 Sn 2.58

---

The following is a PBE calculation of a geometry-optimized Li2GaNi5Ge2 structure, from the Alexandria database.

Values from the calculation:
**V**: 259.66 Å³/cell
**Spin magnetization**: 0.0 μB/cell
**Total DFT energy (no corrections)**: -4.754 eV per atom

Cell lengths 3.5846, 8.5111, 8.5111 Å; angles 90.00, 90.00, 90.00 degrees
Last column: nearest neighbours and their distance in Å.
Fractional positions:
Ni (0.5000, 0.5720, 0.6982)  2 Ge 2.37, 2 Ga 2.54, 3 Ni 2.54-2.64
Ni (0.5000, 0.1982, 0.0720)  2 Ge 2.37, 2 Ga 2.54, 3 Ni 2.54-2.64
Ni (0.5000, 0.9280, 0.1982)  2 Ge 2.37, 2 Ga 2.54, 3 Ni 2.54-2.64
Ge (0.0000, 0.8706, 0.3706)  6 Ni 2.37, 3 Li 2.42-2.56
Ge (0.0000, 0.1294, 0.6294)  6 Ni 2.37, 3 Li 2.42-2.56
Ge (0.0000, 0.6294, 0.8706)  6 Ni 2.37, 3 Li 2.42-2.56
Ni (0.5000, 0.4280, 0.3018)  2 Ge 2.37, 2 Ga 2.54, 3 Ni 2.54-2.64
Ga (0.0000, 0.0000, 0.0000)  8 Ni 2.54
Ga (0.0000, 0.5000, 0.5000)  8 Ni 2.54
Ni (0.5000, 0.0720, 0.8018)  2 Ge 2.37, 2 Ga 2.54, 3 Ni 2.54-2.64
Li (0.0000, 0.1692, 0.3308)  3 Ge 2.42-2.56, 2 Ni 2.71
Li (0.0000, 0.6692, 0.1692)  3 Ge 2.42-2.56, 2 Ni 2.71
Ni (0.5000, 0.0000, 0.5000)  4 Ge 2.37, 4 Ni 2.64
Li (0.0000, 0.3308, 0.8308)  3 Ge 2.42-2.56, 2 Ni 2.71
Ni (0.5000, 0.5000, 0.0000)  4 Ge 2.37, 4 Ni 2.64
Ge (0.0000, 0.3706, 0.1294)  6 Ni 2.37, 3 Li 2.42-2.56
Li (0.0000, 0.8308, 0.6692)  3 Ge 2.42-2.56, 2 Ni 2.71
Ni (0.5000, 0.6982, 0.4280)  2 Ge 2.37, 2 Ga 2.54, 3 Ni 2.54-2.64
Ni (0.5000, 0.8018, 0.9280)  2 Ge 2.37, 2 Ga 2.54, 3 Ni 2.54-2.64
Ni (0.5000, 0.3018, 0.5720)  2 Ge 2.37, 2 Ga 2.54, 3 Ni 2.54-2.64

---

The following is a PBE calculation of a geometry-optimized Cs2CdIn4Hg3 structure, from the Alexandria database.

Values from the calculation:
**V**: 335.57 Å³/cell
**Spin magnetization**: 0.0 μB/cell
**Total DFT energy (no corrections)**: -1.557 eV per atom

Cell lengths 5.1517, 5.1517, 12.6439 Å; angles 90.00, 90.00, 90.00 degrees
Last column: nearest neighbours and their distance in Å.
Fractional positions:
Hg (0.0000, 0.0000, 0.5000)  4 In 3.01
In (0.0000, 0.5000, 0.3765)  3 Hg 3.01-3.08, 2 Cd 3.01
Hg (0.5000, 0.0000, 0.8668)  5 In 3.08
Cd (0.5000, 0.5000, 0.5000)  4 In 3.01
Hg (0.0000, 0.5000, 0.1332)  5 In 3.08
Cs (0.0000, 0.5000, 0.7484)  6 Hg 3.94-4.06, 8 In 3.97-4.09, 2 Cd 4.06
In (0.5000, 0.0000, 0.6235)  2 Cd 3.01, 3 Hg 3.01-3.08
In (0.5000, 0.5000, 0.0000)  4 Hg 3.08
In (0.0000, 0.0000, 0.0000)  4 Hg 3.08
Cs (0.5000, 0.0000, 0.2516)  6 Hg 3.94-4.06, 8 In 3.97-4.09, 2 Cd 4.06

---

The following is a PBE calculation of a geometry-optimized KTl3PdAu structure, from the Alexandria database.

Values from the calculation:
**V**: 382.34 Å³/cell
**Spin magnetization**: 0.0 μB/cell
**Total DFT energy (no corrections)**: -2.830 eV per atom

Cell lengths 7.7856, 7.9263, 7.3548 Å; angles 122.61, 90.00, 90.00 degrees
Last column: nearest neighbours and their distance in Å.
Fractional positions:
Tl (0.5000, 0.2531, 0.0000)  2 Pd 2.76, 2 Au 2.86
Au (0.7500, 0.9501, 0.9001)  5 Tl 2.77-2.86
Au (0.2500, 0.0499, 0.0999)  5 Tl 2.77-2.86
Pd (0.7500, 0.5112, 0.0225)  5 Tl 2.67-2.76
Tl (0.7500, 0.7268, 0.4536)  1 Pd 2.67, 1 Au 2.77
Tl (0.5000, 0.7469, 0.0000)  2 Pd 2.76, 2 Au 2.86
K (0.2500, 0.7635, 0.5271)  1 Pd 3.40, 1 Au 3.55
Pd (0.2500, 0.4888, 0.9775)  5 Tl 2.67-2.76
Tl (0.2500, 0.2732, 0.5464)  1 Pd 2.67, 1 Au 2.77
Tl (0.0000, 0.2531, 0.0000)  2 Pd 2.76, 2 Au 2.86
K (0.7500, 0.2365, 0.4729)  1 Pd 3.40, 1 Au 3.55
Tl (0.0000, 0.7469, 0.0000)  2 Pd 2.76, 2 Au 2.86